Computed, not measured: a relaxed Dy3YHo2Se6 crystal at the GGA-PBE level of DFT.

a = 7.052 Å, b = 7.052 Å, c = 7.064 Å
α = 99.54°, β = 99.54°, γ = 120.35°
Atoms (fractional coordinates):
Ho1 0.334 0.666 0.000
Ho2 0.666 0.334 0.000
Se1 0.747 0.747 0.248
Se2 0.917 0.581 0.751
Se3 0.253 0.253 0.752
Se4 0.083 0.419 0.249
Se5 0.581 0.917 0.751
Se6 0.419 0.083 0.249
Y1 0.000 0.000 0.000
Dy1 0.835 0.165 0.500
Dy2 0.165 0.835 0.500
Dy3 0.500 0.500 0.500

Summary:
The calculated volume is 23.819 Å³ per atom. The calculation puts the total energy at -5.94 eV/atom. The uncorrected formation energy is -20.9 eV/f.u.

***

Computed, not measured: a relaxed Pd7PbS2 crystal at the GGA-PBE level of DFT.

a = 4.102 Å, b = 4.102 Å, c = 10.359 Å
α = 101.42°, β = 101.42°, γ = 90.00°
Atoms (fractional coordinates):
S1 0.325 0.325 0.650
S2 0.675 0.675 0.350
Pb1 0.000 0.000 0.000
Pd1 0.750 0.250 0.500
Pd2 0.894 0.394 0.788
Pd3 0.106 0.606 0.212
Pd4 0.500 0.500 0.000
Pd5 0.606 0.106 0.212
Pd6 0.250 0.750 0.500
Pd7 0.394 0.894 0.788

Summary:
The calculated volume is 16.737 Å³ per atom. The calculation puts the total energy at -4.99 eV/atom. The uncorrected formation energy is -1.6 eV/f.u.

***

Computed, not measured: a relaxed NbCr2As crystal at the GGA-PBE level of DFT.

a = 7.066 Å, b = 7.066 Å, c = 5.658 Å
α = 51.36°, β = 51.36°, γ = 90.00°
Atoms (fractional coordinates):
As1 0.500 0.500 0.000
As2 0.250 0.750 0.500
Cr1 0.375 0.414 0.750
Cr2 0.875 0.836 0.750
Cr3 0.164 0.625 0.250
Cr4 0.586 0.125 0.250
Nb1 0.000 0.000 0.000
Nb2 0.750 0.250 0.500

Summary:
The calculated volume is 16.574 Å³ per atom. The calculation puts the total energy at -7.96 eV/atom. Its formation energy is 51.3 kJ/mol of atoms.

***

Computed, not measured: a relaxed CeHfCuOs crystal at the GGA-PBE level of DFT.

a = 4.767 Å, b = 4.767 Å, c = 4.767 Å
α = 60.00°, β = 60.00°, γ = 60.00°
Atoms (fractional coordinates):
Os1 0.000 0.000 0.000
Ce1 0.250 0.250 0.250
Hf1 0.750 0.750 0.750
Cu1 0.500 0.500 0.500

Summary:
The calculated volume is 19.145 Å³ per atom. The calculation puts the total energy at -7.96 eV/atom. Its formation energy is -14.7 kJ/mol of atoms.

***

Computed, not measured: a relaxed AlNiAs2Pb crystal at the GGA-PBE level of DFT.

a = 4.535 Å, b = 4.535 Å, c = 5.590 Å
α = 90.00°, β = 90.00°, γ = 90.00°
Atoms (fractional coordinates):
Ni1 0.000 0.000 0.000
Pb1 0.000 0.000 0.500
As1 0.500 0.000 0.000
As2 0.000 0.500 0.000
Al1 0.500 0.500 0.500

Summary:
The calculated volume is 22.992 Å³ per atom. The energy relative to the lowest polymorph listed for this composition is 0.000 eV per atom. The calculation puts the total energy at -4.14 eV/atom. Its formation energy is 35.3 kJ/mol of atoms.

***

Computed, not measured: a relaxed CsS6 crystal at the GGA-PBE level of DFT.

a = 6.232 Å, b = 6.232 Å, c = 6.232 Å
α = 109.47°, β = 109.47°, γ = 109.47°
Atoms (fractional coordinates):
S1 0.750 0.250 0.500
S2 0.250 0.750 0.500
S3 0.750 0.500 0.250
S4 0.500 0.250 0.750
S5 0.500 0.750 0.250
S6 0.250 0.500 0.750
Cs1 0.000 0.000 0.000

Summary:
The calculated volume is 26.623 Å³ per atom. The calculation puts the total energy at -3.18 eV/atom. The uncorrected formation energy is 3.3 eV/f.u.

***

Computed, not measured: a relaxed LiTbNdSn crystal at the GGA-PBE level of DFT.

a = 5.315 Å, b = 5.315 Å, c = 5.315 Å
α = 60.00°, β = 60.00°, γ = 60.00°
Atoms (fractional coordinates):
Nd1 0.500 0.500 0.500
Li1 0.750 0.750 0.750
Sn1 0.250 0.250 0.250
Tb1 0.000 0.000 0.000

Summary:
The calculated volume is 26.535 Å³ per atom. The calculation puts the total energy at -4.26 eV/atom. Its formation energy is -41.9 kJ/mol of atoms.

***

Computed, not measured: a relaxed BaLaTe crystal at the GGA-PBE level of DFT.

a = 4.879 Å, b = 4.879 Å, c = 9.626 Å
α = 90.00°, β = 90.00°, γ = 90.00°
Atoms (fractional coordinates):
Te1 0.500 0.000 0.754
Te2 0.000 0.500 0.246
La1 0.500 0.500 0.500
La2 0.000 0.000 0.500
Ba1 0.500 0.000 0.142
Ba2 0.000 0.500 0.858

Summary:
The calculated volume is 38.184 Å³ per atom. The energy relative to the lowest polymorph listed for this composition is 0.000 eV per atom. The calculation puts the total energy at -4.33 eV/atom. The uncorrected formation energy is -3.0 eV/f.u.

***

Computed, not measured: a relaxed TbCoSn crystal at the GGA-PBE level of DFT.

a = 4.541 Å, b = 4.541 Å, c = 4.541 Å
α = 60.00°, β = 60.00°, γ = 60.00°
Atoms (fractional coordinates):
Co1 0.250 0.250 0.250
Sn1 0.500 0.500 0.500
Tb1 0.000 0.000 0.000

Summary:
The calculated volume is 22.074 Å³ per atom. The calculation puts the total energy at -5.59 eV/atom. Its formation energy is -32.7 kJ/mol of atoms.

***

Computed, not measured: a relaxed Tm4Si6Ru7 crystal at the GGA-PBE level of DFT.

a = 7.099 Å, b = 7.099 Å, c = 7.099 Å
α = 109.47°, β = 109.47°, γ = 109.47°
Atoms (fractional coordinates):
Tm1 0.000 0.000 0.500
Tm2 0.500 0.500 0.500
Tm3 0.000 0.500 0.000
Tm4 0.500 0.000 0.000
Ru1 0.500 0.750 0.250
Ru2 0.500 0.250 0.750
Ru3 0.000 0.000 0.000
Ru4 0.750 0.500 0.250
Ru5 0.250 0.750 0.500
Ru6 0.250 0.500 0.750
Ru7 0.750 0.250 0.500
Si1 0.000 0.681 0.681
Si2 0.681 0.681 0.000
Si3 0.319 0.000 0.319
Si4 0.681 0.000 0.681
Si5 0.000 0.319 0.319
Si6 0.319 0.319 0.000

Summary:
The calculated volume is 16.200 Å³ per atom. The calculation puts the total energy at -7.52 eV/atom. The uncorrected formation energy is -12.6 eV/f.u.

***

Computed, not measured: a relaxed Hg2Ru crystal at the GGA-PBE level of DFT.

a = 8.236 Å, b = 8.236 Å, c = 4.736 Å
α = 90.00°, β = 90.00°, γ = 158.89°
Atoms (fractional coordinates):
Ru1 0.276 0.724 0.750
Ru2 0.724 0.276 0.250
Hg1 0.629 0.371 0.750
Hg2 0.939 0.061 0.750
Hg3 0.371 0.629 0.250
Hg4 0.061 0.939 0.250

Summary:
The calculated volume is 19.284 Å³ per atom. The calculation puts the total energy at -2.75 eV/atom. Its formation energy is 52.9 kJ/mol of atoms.

***

Computed, not measured: a relaxed HfMnGa2 crystal at the GGA-PBE level of DFT.

a = 8.428 Å, b = 9.017 Å, c = 10.039 Å
α = 90.00°, β = 90.00°, γ = 90.00°
Atoms (fractional coordinates):
Mn1 0.000 0.000 0.500
Mn2 0.000 0.500 0.000
Mn3 0.501 0.080 0.251
Mn4 0.999 0.080 0.251
Mn5 0.001 0.580 0.249
Mn6 0.001 0.920 0.749
Mn7 0.999 0.420 0.751
Mn8 0.499 0.580 0.249
Mn9 0.500 0.500 0.000
Mn10 0.500 0.000 0.500
Mn11 0.501 0.420 0.751
Mn12 0.499 0.920 0.749
Ga1 0.920 0.329 0.181
Ga2 0.920 0.171 0.681
Ga3 0.250 0.858 0.596
Ga4 0.750 0.982 0.872
Ga5 0.250 0.387 0.895
Ga6 0.250 0.642 0.096
Ga7 0.750 0.142 0.404
Ga8 0.750 0.518 0.372
Ga9 0.750 0.887 0.605
Ga10 0.250 0.565 0.382
Ga11 0.580 0.329 0.181
Ga12 0.750 0.613 0.105
Ga13 0.420 0.671 0.819
Ga14 0.750 0.358 0.904
Ga15 0.750 0.065 0.118
Ga16 0.080 0.829 0.319
Ga17 0.250 0.113 0.395
Ga18 0.250 0.935 0.882
Ga19 0.250 0.018 0.128
Ga20 0.580 0.171 0.681
Ga21 0.080 0.671 0.819
Ga22 0.750 0.435 0.618
Ga23 0.250 0.482 0.628
Ga24 0.420 0.829 0.319
Hf1 0.476 0.331 0.452
Hf2 0.250 0.162 0.680
Hf3 0.750 0.662 0.820
Hf4 0.750 0.838 0.320
Hf5 0.976 0.831 0.048
Hf6 0.524 0.831 0.048
Hf7 0.024 0.331 0.452
Hf8 0.250 0.338 0.180
Hf9 0.476 0.169 0.952
Hf10 0.024 0.169 0.952
Hf11 0.976 0.669 0.548
Hf12 0.524 0.669 0.548

Summary:
The calculated volume is 15.894 Å³ per atom. The calculation puts the total energy at -6.67 eV/atom. Its formation energy is -36.5 kJ/mol of atoms.

***

Computed, not measured: a relaxed PaGa4Pt2 crystal at the GGA-PBE level of DFT.

a = 4.371 Å, b = 7.624 Å, c = 7.624 Å
α = 90.00°, β = 90.00°, γ = 90.00°
Atoms (fractional coordinates):
Ga1 0.000 0.664 0.908
Ga2 0.500 0.836 0.408
Ga3 0.000 0.908 0.664
Ga4 0.000 0.336 0.092
Ga5 0.000 0.092 0.336
Ga6 0.500 0.408 0.836
Ga7 0.500 0.592 0.164
Ga8 0.500 0.164 0.592
Pa1 0.500 0.000 0.000
Pa2 0.000 0.500 0.500
Pt1 0.500 0.287 0.287
Pt2 0.000 0.213 0.787
Pt3 0.500 0.713 0.713
Pt4 0.000 0.787 0.213

Summary:
The calculated volume is 18.150 Å³ per atom. The energy relative to the lowest polymorph listed for this composition is 0.163 eV per atom. The calculation puts the total energy at -5.35 eV/atom. Its formation energy is -52.3 kJ/mol of atoms.

***

Computed, not measured: a relaxed BaAcNCl crystal at the GGA-PBE level of DFT.

a = 4.059 Å, b = 4.059 Å, c = 8.087 Å
α = 90.00°, β = 104.53°, γ = 120.00°
Atoms (fractional coordinates):
N1 0.338 0.567 0.921
Ac1 0.089 0.943 0.047
Ba1 0.496 0.146 0.657
Cl1 0.954 0.375 0.345

Summary:
The calculated volume is 27.606 Å³ per atom. The calculation puts the total energy at -5.42 eV/atom. The uncorrected formation energy is -5.5 eV/f.u.

***

Computed, not measured: a relaxed LiYSn2Te4 crystal at the GGA-PBE level of DFT.

a = 4.439 Å, b = 7.635 Å, c = 7.774 Å
α = 108.86°, β = 90.00°, γ = 90.00°
Atoms (fractional coordinates):
Li1 0.000 0.000 0.000
Te1 0.000 0.748 0.238
Te2 0.000 0.252 0.762
Te3 0.500 0.246 0.236
Te4 0.500 0.754 0.764
Y1 0.500 0.500 0.000
Sn1 0.000 0.500 0.500
Sn2 0.500 0.000 0.500

Summary:
The calculated volume is 31.163 Å³ per atom. The calculation puts the total energy at -4.36 eV/atom. The uncorrected formation energy is -5.9 eV/f.u.

***

Computed, not measured: a relaxed RbAl2F crystal at the GGA-PBE level of DFT.

a = 5.372 Å, b = 5.372 Å, c = 5.372 Å
α = 60.00°, β = 60.00°, γ = 60.00°
Atoms (fractional coordinates):
Al1 0.750 0.750 0.750
Al2 0.250 0.250 0.250
Rb1 0.500 0.500 0.500
F1 0.000 0.000 0.000

Summary:
The calculated volume is 27.405 Å³ per atom. The calculation puts the total energy at -2.35 eV/atom. The uncorrected formation energy is 0.9 eV/f.u.

***

Computed, not measured: a relaxed TbPr4Sm8 crystal at the GGA-PBE level of DFT.

a = 11.255 Å, b = 11.255 Å, c = 7.921 Å
α = 90.00°, β = 135.27°, γ = 120.00°
Atoms (fractional coordinates):
Sm1 0.525 0.763 0.769
Sm2 0.994 0.756 0.231
Sm3 0.476 0.238 0.715
Sm4 0.524 0.762 0.285
Sm5 0.006 0.763 0.769
Sm6 0.994 0.237 0.231
Sm7 0.006 0.244 0.769
Sm8 0.475 0.237 0.231
Pr1 0.000 0.000 0.000
Pr2 0.000 0.500 0.000
Pr3 0.500 0.500 0.000
Pr4 0.500 0.000 0.000
Tb1 0.000 0.500 0.500

Summary:
The calculated volume is 38.223 Å³ per atom. The calculation puts the total energy at -4.24 eV/atom. Its formation energy is 47.1 kJ/mol of atoms.

***

Computed, not measured: a relaxed AgHg2I2O crystal at the GGA-PBE level of DFT.

a = 7.203 Å, b = 7.236 Å, c = 7.904 Å
α = 117.24°, β = 90.00°, γ = 90.00°
Atoms (fractional coordinates):
O1 0.204 0.182 0.000
O2 0.704 0.818 0.000
I1 0.704 0.115 0.704
I2 0.704 0.411 0.296
I3 0.204 0.589 0.704
I4 0.204 0.885 0.296
Ag1 0.954 0.000 0.000
Ag2 0.454 0.000 0.000
Hg1 0.204 0.157 0.709
Hg2 0.704 0.843 0.291
Hg3 0.204 0.449 0.291
Hg4 0.704 0.551 0.709

Summary:
The calculated volume is 30.524 Å³ per atom. The calculation puts the total energy at -2.02 eV/atom. The uncorrected formation energy is -0.6 eV/f.u.

***

Computed, not measured: a relaxed NdYCd crystal at the GGA-PBE level of DFT.

a = 3.696 Å, b = 3.696 Å, c = 7.040 Å
α = 105.22°, β = 105.22°, γ = 90.00°
Atoms (fractional coordinates):
Cd1 0.672 0.672 0.344
Nd1 0.009 0.009 0.018
Y1 0.319 0.319 0.638

Summary:
The calculated volume is 29.769 Å³ per atom. The energy relative to the lowest polymorph listed for this composition is 0.000 eV per atom. The calculation puts the total energy at -4.25 eV/atom. Its formation energy is -19.7 kJ/mol of atoms.

***

Computed, not measured: a relaxed Tl2NiW crystal at the GGA-PBE level of DFT.

a = 4.447 Å, b = 2.980 Å, c = 5.709 Å
α = 85.57°, β = 90.00°, γ = 90.00°
Atoms (fractional coordinates):
Ni1 0.500 0.750 0.750
Tl1 0.000 0.587 0.506
Tl2 0.000 0.913 0.994
W1 0.500 0.250 0.250

Summary:
The calculated volume is 18.860 Å³ per atom. The energy relative to the lowest polymorph listed for this composition is 0.395 eV per atom. The calculation puts the total energy at -4.95 eV/atom. Its formation energy is 88.6 kJ/mol of atoms.